No. 1
Here is CsK2YbP2O8 after structural relaxation from Alexandria. Energies are from PBE.

Output
DFT total energy: -89.2 eV/f.u.
Formation energy (no corrections): -2.44 eV per atom
Volume: 229.9 Å³ per cell

Cell: 5.7591 5.7591 8.0027 Å, 90.00 90.00 120.00°
Positions (direct):
Cs (0.0000, 0.0000, 0.0000)
K (0.3333, 0.6667, 0.7367)
K (0.6667, 0.3333, 0.2633)
Yb (0.0000, 0.0000, 0.5000)
P (0.3333, 0.6667, 0.2683)
P (0.6667, 0.3333, 0.7317)
O (0.1860, 0.3720, 0.3349)
O (0.1860, 0.8140, 0.3349)
O (0.3333, 0.6667, 0.0768)
O (0.3720, 0.1860, 0.6651)
O (0.6280, 0.8140, 0.3349)
O (0.6667, 0.3333, 0.9232)
O (0.8140, 0.1860, 0.6651)
O (0.8140, 0.6280, 0.6651)

=====

No. 2
Here is ZrCdN2O after structural relaxation from Alexandria. Energies are from PBE.

Output
DFT total energy: -27.5 eV/f.u.
Formation energy (no corrections): 0.71 eV per atom
Volume: 66.2 Å³ per cell

Cell: 4.0780 4.0780 3.9780 Å, 90.00 90.00 90.00°
Positions (direct):
Zr (0.0000, 0.0000, 0.0000)
Cd (0.5000, 0.5000, 0.5000)
N (0.0000, 0.5000, 0.5000)
N (0.5000, 0.0000, 0.5000)
O (0.5000, 0.5000, 0.0000)